LaTaRu2 at its PBEsol-relaxed geometry. Source: Alexandria, functional meta-GGA SCAN.

a = 3.162 Å, b = 3.162 Å, c = 7.258 Å
α = 90.00°, β = 90.00°, γ = 90.00°
Element x y z (fractional)
La  0.000  0.000  0.000
Ta  0.000  0.000  0.500
Ru  0.500  0.500  0.297
Ru  0.500  0.500  0.703

ΔE_f	-319	meV/atom
space-group type	P4/mmm, No. 123
total DFT energy (no corrections)	-45.1540	eV/atom
volume	18.1	Å³/atom
mass density	11.94	g cm⁻³